{
  "formula": "CoBiN2F",
  "functional": "PBE+U",
  "state": "relaxed",
  "rho_kg_m3": 8758,
  "dft_energy_ev_per_cell": -26.05,
  "m_tot_mub_per_cell": 2.764,
  "cell": [[3.8435, 0.0000, 0.0000], [0.0000, 3.8435, 0.0000], [0.0000, 0.0000, 4.0418]],
  "species": ["Co", "Bi", "N", "N", "F"],
  "frac_coords": [[0.0000, 0.0000, 0.0000], [0.5000, 0.5000, 0.5000], [0.0000, 0.5000, 0.0000], [0.5000, 0.0000, 0.0000], [0.0000, 0.0000, 0.5000]]
}